Material: Tm2CoO
Method: DFT, PBE+U
State: optimized geometry

Cell: 3.2728 3.2728 8.4115 Å, 78.78 78.78 60.00°
Site moments in Bohr magnetons follow the coordinates.
Fractional positions:
Tm (0.1091, 0.1091, 0.6727)  -0.22
Tm (0.8909, 0.8909, 0.3273)  -0.22
Co (0.0000, 0.0000, 0.0000)  1.88
O (0.5000, 0.5000, 0.5000)  -0.01

Output
N(E_F): 2.420 states/eV per cell
space group: R-3m
calculated total energy: -5.56 eV/atom